Record 1
Here is crystalline Sm3Mg2Al at its relaxed geometry from Alexandria via LeMat-Bulk. Energies are from PBE.

Computed properties:
Distance to the lowest polymorph of the same formula (eV/f.u.): 0.000
Calculated total energy (eV per atom): -3.714
ρ (g cm⁻³): 5.386
ΔH_f (0 K) (meV/atom): -199

a b c (Å): 5.3479 5.3479 6.5557
angles (deg): 90.00 90.00 120.00
Space group P-3m1 (No. 164)
One atom of each set of equivalent atoms:
1 Sm 0.0000 0.0000 0.0000
2 Sm 0.3333 0.6667 0.6598
3 Mg 0.3333 0.6667 0.1585
4 Al 0.0000 0.0000 0.5000



Record 2
Here is crystalline Sm4MgAl2 at its relaxed geometry from Alexandria via LeMat-Bulk. Energies are from PBE.

Computed properties:
Distance to the lowest polymorph of the same formula (eV/f.u.): 0.000
Calculated total energy (eV per atom): -4.187
ρ (g cm⁻³): 5.711
ΔH_f (0 K) (meV/atom): -193

a b c (Å): 5.2253 5.2253 25.0728
angles (deg): 90.00 90.00 120.00
Space group R-3m (No. 166, hexagonal axes)
One atom of each set of equivalent atoms:
1 Sm 0.0000 0.0000 0.1148
2 Sm 0.0000 0.0000 0.3681
3 Mg 0.0000 0.0000 0.5000
4 Al 0.0000 0.0000 0.2430



Record 3
Here is crystalline Sm6MgAl5 at its relaxed geometry from Alexandria via LeMat-Bulk. Energies are from PBE.

Computed properties:
Calculated total energy (eV per atom): -4.392
ρ (g cm⁻³): 5.773
ΔH_f (0 K) (meV/atom): -340

a b c (Å): 5.2492 15.7773 7.3731
angles (deg): 90.00 90.00 90.00
Space group Cmmm (No. 65)
One atom of each set of equivalent atoms:
1 Sm 0.0000 0.0000 0.2442
2 Sm 0.0000 0.3302 0.2495
3 Mg 0.0000 0.5000 0.5000
4 Al 0.0000 0.1604 0.5000
5 Al 0.0000 0.1655 0.0000
6 Al 0.0000 0.5000 0.0000



Record 4
Here is crystalline Sm6MgAl2 at its relaxed geometry from Alexandria via LeMat-Bulk. Energies are from PBE.

Computed properties:
Calculated total energy (eV per atom): -4.035
ρ (g cm⁻³): 5.491
ΔH_f (0 K) (meV/atom): 120

a b c (Å): 16.1445 7.5916 5.0851
angles (deg): 90.00 107.92 90.00
Space group C2/m (No. 12)
One atom of each set of equivalent atoms:
1 Sm 0.0000 0.2330 0.0000
2 Sm 0.1701 0.2428 0.6708
3 Mg 0.0000 0.5000 0.5000
4 Al 0.1685 0.0000 0.1690



Record 5
Here is crystalline SmMgAl at its relaxed geometry from Alexandria via LeMat-Bulk. Energies are from PBE.

Computed properties:
Calculated total energy (eV per atom): -3.523
ρ (g cm⁻³): 4.629
ΔH_f (0 K) (meV/atom): -171

a b c (Å): 3.4097 3.4097 12.4427
angles (deg): 90.00 90.00 90.00
Space group I4mm (No. 107)
One atom of each set of equivalent atoms:
1 Sm 0.0000 0.0000 0.0000
2 Mg 0.0000 0.0000 0.2998
3 Al 0.0000 0.0000 0.6626



Record 6
Here is crystalline Sm3MgAl at its relaxed geometry from Alexandria via LeMat-Bulk. Energies are from PBE.

Computed properties:
Distance to the lowest polymorph of the same formula (eV/f.u.): 0.000
Calculated total energy (eV per atom): -4.078
ρ (g cm⁻³): 5.919
ΔH_f (0 K) (meV/atom): -179

a b c (Å): 5.2697 20.3047 5.2686
angles (deg): 90.00 90.00 90.00
Space group Cmcm (No. 63)
One atom of each set of equivalent atoms:
1 Sm 0.0000 0.0640 0.2500
2 Sm 0.0000 0.2500 0.2500
3 Sm 0.0000 0.4358 0.2500
4 Mg 0.0000 0.1578 0.7500
5 Al 0.0000 0.3411 0.7500



Record 7
Here is crystalline SmMgAl at its relaxed geometry from Alexandria via LeMat-Bulk. Energies are from PBE.

Computed properties:
Calculated total energy (eV per atom): -3.603
ρ (g cm⁻³): 4.516
ΔH_f (0 K) (meV/atom): -251

a b c (Å): 4.8572 4.8572 3.6287
angles (deg): 90.00 90.00 120.00
Space group P-6m2 (No. 187)
One atom of each set of equivalent atoms:
1 Sm 0.0000 0.0000 0.0000
2 Mg 0.3333 0.6667 0.5000
3 Al 0.6667 0.3333 0.5000



Record 8
Here is crystalline Sm5MgAl3 at its relaxed geometry from Alexandria via LeMat-Bulk. Energies are from PBE.

Computed properties:
Calculated total energy (eV per atom): -4.307
ρ (g cm⁻³): 5.870
ΔH_f (0 K) (meV/atom): -260

a b c (Å): 9.2173 9.2173 6.5903
angles (deg): 90.00 90.00 120.00
Space group P6_3/mcm (No. 193)
One atom of each set of equivalent atoms:
1 Sm 0.0000 0.3126 0.2500
2 Sm 0.3333 0.6667 0.0000
3 Mg 0.0000 0.0000 0.0000
4 Al 0.0000 0.3489 0.7500